(1)
8
Lattice="3.759 0.000 0.000 0.000 3.759 0.000 0.000 0.000 7.980" Properties=species:S:1:pos:R:3 comment="NdZnNO (PBE, relaxed)" total_energy_ev_per_atom=-6.238 pbc="T T T"
Nd 0.940 0.940 1.290
Nd 2.819 2.819 6.690
Zn 0.940 2.819 3.990
Zn 2.819 0.940 3.990
N 0.940 0.940 5.061
N 2.819 2.819 2.918
O 0.940 2.819 0.000
O 2.819 0.940 0.000

(2)
8
Lattice="4.590 0.000 0.000 0.000 4.590 0.000 0.000 0.000 6.100" Properties=species:S:1:pos:R:3 comment="NdZrNO (PBE, relaxed)" total_energy_ev_per_atom=-8.396 pbc="T T T"
Nd 1.148 3.443 0.000
Nd 3.443 1.148 0.000
Zr 1.148 1.148 2.822
Zr 3.443 3.443 3.278
N 1.148 1.148 0.831
N 3.443 3.443 5.269
O 1.148 3.443 3.050
O 3.443 1.148 3.050

(3)
16
Lattice="6.896 0.000 0.000 0.000 7.827 0.000 0.000 0.000 4.969" Properties=species:S:1:pos:R:3 comment="NdZrNO (PBE, relaxed)" total_energy_ev_per_atom=-8.469 pbc="T T T"
Nd 0.507 0.970 0.000
Nd 2.941 0.970 2.485
Nd 3.955 6.858 0.000
Nd 6.389 6.858 2.485
Zr 0.704 4.997 4.962
Zr 2.744 4.997 2.477
Zr 4.152 2.830 4.962
Zr 6.191 2.830 2.477
N 0.558 1.272 2.477
N 2.890 1.272 4.962
N 4.006 6.556 2.477
N 6.338 6.556 4.962
O 0.532 4.595 2.539
O 2.915 4.595 0.054
O 3.980 3.232 2.539
O 6.363 3.232 0.054

(4)
8
Lattice="4.058 0.000 0.000 0.000 6.327 0.000 0.000 0.000 5.321" Properties=species:S:1:pos:R:3 comment="NdZrNO (PBE, relaxed)" total_energy_ev_per_atom=-8.549 pbc="T T T"
Nd 0.000 1.091 0.000
Nd 0.000 5.235 2.660
Zr 2.029 1.855 2.772
Zr 2.029 4.471 0.111
N 0.000 1.308 2.702
N 0.000 5.018 0.042
O 2.029 2.450 4.847
O 2.029 3.877 2.186